# 1
Entry from Alexandria: a geometry-optimized Mg3TiFe structure (PBEsol).

Output
size of the total moment = 6.1 μB/f.u.
ΔE_f = 1.627 eV/atom
DFT total energy = -14.30 eV per formula unit

abc: 5.108 5.108 5.108
angles: 90.00 90.00 90.00
Element x y z (fractional)
1 Mg 0.000 0.000 0.500
2 Mg 0.000 0.500 0.000
3 Mg 0.500 0.000 0.000
4 Ti 0.000 0.000 0.000
5 Fe 0.500 0.500 0.500

---

# 2
Entry from Alexandria: a geometry-optimized CaCr2O7 structure (PBEsol).

Output
size of the total moment = 0.0 μB/f.u.
DFT total energy = -79.67 eV per formula unit
uncorrected formation energy = -20.3 eV/f.u.

abc: 6.732 7.239 7.205
angles: 90.00 105.06 90.00
Element x y z (fractional)
1 Ca 0.127 0.000 0.029
2 Ca 0.873 0.500 0.971
3 Cr 0.248 0.913 0.568
4 Cr 0.353 0.498 0.089
5 Cr 0.647 0.998 0.911
6 Cr 0.752 0.413 0.432
7 O 0.108 0.984 0.706
8 O 0.172 0.000 0.353
9 O 0.197 0.321 0.037
10 O 0.201 0.679 0.053
11 O 0.249 0.695 0.561
12 O 0.490 0.003 0.045
13 O 0.494 0.490 0.323
14 O 0.506 0.990 0.677
15 O 0.510 0.503 0.955
16 O 0.751 0.195 0.439
17 O 0.799 0.179 0.947
18 O 0.803 0.821 0.963
19 O 0.828 0.500 0.647
20 O 0.892 0.484 0.294

---

# 3
Entry from Alexandria: a geometry-optimized TaTeSeI2 structure (PBEsol).

Output
size of the total moment = 3.2 μB/f.u.
DFT total energy = -16.92 eV per formula unit
uncorrected formation energy = 6.5 eV/f.u.

abc: 5.351 5.351 5.596
angles: 90.00 90.00 90.00
Element x y z (fractional)
1 Ta 0.000 0.000 0.000
2 Te 0.500 0.500 0.000
3 Se 0.500 0.500 0.500
4 I 0.000 0.500 0.500
5 I 0.500 0.000 0.500

---

# 4
Entry from Alexandria: a geometry-optimized Tl2Ge2O7 structure (PBEsol).

Output
size of the total moment = 0.0 μB/f.u.
DFT total energy = -65.73 eV per formula unit
uncorrected formation energy = -13.8 eV/f.u.

abc: 7.029 7.029 7.029
angles: 60.00 60.00 60.00
Element x y z (fractional)
1 Tl 0.000 0.000 0.000
2 Tl 0.000 0.000 0.500
3 Tl 0.000 0.500 0.000
4 Tl 0.500 0.000 0.000
5 Ge 0.000 0.500 0.500
6 Ge 0.500 0.000 0.500
7 Ge 0.500 0.500 0.000
8 Ge 0.500 0.500 0.500
9 O 0.125 0.125 0.125
10 O 0.175 0.175 0.575
11 O 0.175 0.575 0.175
12 O 0.175 0.575 0.575
13 O 0.425 0.425 0.825
14 O 0.425 0.825 0.425
15 O 0.425 0.825 0.825
16 O 0.575 0.175 0.175
17 O 0.575 0.175 0.575
18 O 0.575 0.575 0.175
19 O 0.825 0.425 0.425
20 O 0.825 0.425 0.825
21 O 0.825 0.825 0.425
22 O 0.875 0.875 0.875

---

# 5
Entry from Alexandria: a geometry-optimized ReTcP2 structure (PBEsol).

Output
size of the total moment = 0.0 μB/f.u.
ΔE_f = 0.216 eV/atom
DFT total energy = -35.32 eV per formula unit

abc: 6.369 6.369 6.369
angles: 131.10 131.10 71.66
Element x y z (fractional)
1 Re 0.000 0.000 0.000
2 Re 0.750 0.250 0.500
3 Tc 0.250 0.750 0.500
4 Tc 0.500 0.500 0.000
5 P 0.126 0.625 0.001
6 P 0.375 0.376 0.501
7 P 0.624 0.125 0.999
8 P 0.875 0.874 0.499

---

# 6
Entry from Alexandria: a geometry-optimized FeCo5 structure (PBEsol).

Output
size of the total moment = 10.2 μB/f.u.
ΔE_f = 0.034 eV/atom
DFT total energy = -47.44 eV per formula unit

abc: 4.004 6.494 6.494
angles: 21.81 90.00 90.00
Element x y z (fractional)
1 Fe 0.000 0.000 0.000
2 Co 0.000 0.332 0.332
3 Co 0.000 0.668 0.668
4 Co 0.500 0.112 0.112
5 Co 0.500 0.444 0.444
6 Co 0.500 0.779 0.779

---

# 7
Entry from Alexandria: a geometry-optimized KSr3 structure (PBEsol).

Output
size of the total moment = 0.0 μB/f.u.
ΔE_f = 0.084 eV/atom
DFT total energy = -6.32 eV per formula unit

abc: 4.124 6.757 8.040
angles: 90.00 100.39 90.00
Element x y z (fractional)
1 K 0.000 0.000 0.000
2 Sr 0.224 0.500 0.744
3 Sr 0.500 0.000 0.500
4 Sr 0.776 0.500 0.256

---

# 8
Entry from Alexandria: a geometry-optimized Ta10Al6B structure (PBEsol).

Output
size of the total moment = 0.0 μB/f.u.
ΔE_f = -0.284 eV/atom
DFT total energy = -161.91 eV per formula unit

abc: 7.770 7.770 5.232
angles: 90.00 90.00 120.00
Element x y z (fractional)
1 Ta 0.000 0.239 0.239
2 Ta 0.000 0.761 0.761
3 Ta 0.239 0.000 0.239
4 Ta 0.239 0.239 0.761
5 Ta 0.333 0.667 0.000
6 Ta 0.333 0.667 0.500
7 Ta 0.667 0.333 0.000
8 Ta 0.667 0.333 0.500
9 Ta 0.761 0.000 0.761
10 Ta 0.761 0.761 0.239
11 Al 0.000 0.401 0.744
12 Al 0.000 0.599 0.256
13 Al 0.401 0.000 0.744
14 Al 0.401 0.401 0.256
15 Al 0.599 0.000 0.256
16 Al 0.599 0.599 0.744
17 B 0.000 0.000 0.500

---

Please write out number 5 again, unchanged.
Entry from Alexandria: a geometry-optimized ReTcP2 structure (PBEsol).

Output
size of the total moment = 0.0 μB/f.u.
ΔE_f = 0.216 eV/atom
DFT total energy = -35.32 eV per formula unit

abc: 6.369 6.369 6.369
angles: 131.10 131.10 71.66
Element x y z (fractional)
1 Re 0.000 0.000 0.000
2 Re 0.750 0.250 0.500
3 Tc 0.250 0.750 0.500
4 Tc 0.500 0.500 0.000
5 P 0.126 0.625 0.001
6 P 0.375 0.376 0.501
7 P 0.624 0.125 0.999
8 P 0.875 0.874 0.499

---

Q: The lowest DFT total energy belongs to which entry?
A: Ta10Al6B

---

Q: Among the records above, which one has the lowest DFT total energy?
A: Ta10Al6B